Compound: KBaTeCl
Source: Alexandria
Functional: PBE-GGA
Structure: optimized geometry

Values from the calculation:
**DOS at the Fermi energy**: 0.00 states/eV per cell
**M_tot**: 0.00 μB per formula unit
**DFT total energy**: -3.71 eV/atom
**Crystal system**: cubic

Cell: 5.8057 5.8057 5.8057 Å, 60.00 60.00 60.00°
Atoms (fractional coordinates):
K 0.0000 0.0000 0.0000
Ba 0.5000 0.5000 0.5000
Te 0.7500 0.7500 0.7500
Cl 0.2500 0.2500 0.2500

***

Compound: KBaTiCl6
Source: Alexandria
Functional: PBE-GGA
Structure: optimized geometry

Values from the calculation:
**DOS at the Fermi energy**: 13.54 states/eV per cell
**M_tot**: 1.00 μB per formula unit
**DFT total energy**: -4.41 eV/atom
**Crystal system**: trigonal

Cell: 7.3948 7.3948 12.6033 Å, 90.00 90.00 120.00°
Atoms (fractional coordinates):
K 0.0000 0.0000 0.0000
K 0.0000 0.0000 0.5000
Ba 0.3333 0.6667 0.2500
Ba 0.6667 0.3333 0.7500
Ti 0.3333 0.6667 0.7500
Ti 0.6667 0.3333 0.2500
Cl 0.0642 0.3964 0.6368
Cl 0.0642 0.6678 0.8632
Cl 0.3322 0.3964 0.8632
Cl 0.3322 0.9358 0.6368
Cl 0.3964 0.0642 0.1368
Cl 0.3964 0.3322 0.3632
Cl 0.6036 0.6678 0.6368
Cl 0.6036 0.9358 0.8632
Cl 0.6678 0.0642 0.3632
Cl 0.6678 0.6036 0.1368
Cl 0.9358 0.3322 0.1368
Cl 0.9358 0.6036 0.3632

***

Compound: KBaTi2Cl
Source: Alexandria
Functional: PBE-GGA
Structure: optimized geometry

Values from the calculation:
**DOS at the Fermi energy**: 4.83 states/eV per cell
**M_tot**: 6.23 μB per formula unit
**DFT total energy**: -3.17 eV/atom
**Crystal system**: tetragonal

Cell: 6.0592 6.0592 5.5786 Å, 90.00 90.00 90.00°
Atoms (fractional coordinates):
K 0.0000 0.0000 0.0000
Ba 0.5000 0.5000 0.5000
Ti 0.0000 0.5000 0.0000
Ti 0.5000 0.0000 0.0000
Cl 0.0000 0.0000 0.5000